Compound: Ac2Ge3Pd
Source: OQMD via LeMat-Bulk
Functional: PBE-GGA
Structure: optimized geometry

Cell and atoms, written as CIF:
```
data_Ac2Ge3Pd
_symmetry_space_group_name_H-M 'P m m 2'
_symmetry_Int_Tables_number 25
_symmetry_space_group_name_Hall 'P 2 -2'
_cell_length_a 4.4555
_cell_length_b 4.5319
_cell_length_c 7.5427
_cell_angle_alpha 90.00
_cell_angle_beta 90.00
_cell_angle_gamma 90.00
loop_
_atom_site_label
_atom_site_type_symbol
_atom_site_fract_x
_atom_site_fract_y
_atom_site_fract_z
Ac1 Ac 0.0000 0.0000 0.0000
Ac2 Ac 0.0000 0.5000 0.4987
Ge1 Ge 0.5000 0.0000 0.6616
Ge2 Ge 0.5000 0.5000 0.1731
Ge3 Ge 0.5000 0.5000 0.8334
Pd1 Pd 0.5000 0.0000 0.3270
```

Results
**Magnetic moment**: 0.00 Bohr magnetons per cell
**Total energy**: -5.36 eV per atom

---

Compound: Hf2Bi2Pb
Source: OQMD via LeMat-Bulk
Functional: PBE-GGA
Structure: optimized geometry

Cell and atoms, written as CIF:
```
data_Hf2Bi2Pb
_symmetry_space_group_name_H-M 'P 4/m b m'
_symmetry_Int_Tables_number 127
_symmetry_space_group_name_Hall '-P 4 2ab'
_cell_length_a 8.0259
_cell_length_b 8.0259
_cell_length_c 4.0033
_cell_angle_alpha 90.00
_cell_angle_beta 90.00
_cell_angle_gamma 90.00
loop_
_atom_site_label
_atom_site_type_symbol
_atom_site_fract_x
_atom_site_fract_y
_atom_site_fract_z
Hf1 Hf 0.1410 0.3590 0.0000
Bi1 Bi 0.1543 0.6543 0.5000
Pb1 Pb 0.0000 0.0000 0.0000
```

Results
**Magnetic moment**: 0.01 Bohr magnetons per cell
**Relative energy among the computed polymorphs**: 0.000 eV/atom

---

Compound: NaFeSnAs
Source: OQMD via LeMat-Bulk
Functional: PBE-GGA
Structure: optimized geometry

Cell and atoms, written as CIF:
```
data_NaFeSnAs
_symmetry_space_group_name_H-M 'F -4 3 m'
_symmetry_Int_Tables_number 216
_symmetry_space_group_name_Hall 'F -4 2 3'
_cell_length_a 6.7263
_cell_length_b 6.7263
_cell_length_c 6.7263
_cell_angle_alpha 90.00
_cell_angle_beta 90.00
_cell_angle_gamma 90.00
loop_
_atom_site_label
_atom_site_type_symbol
_atom_site_fract_x
_atom_site_fract_y
_atom_site_fract_z
Na1 Na 0.0000 0.0000 0.0000
Fe1 Fe 0.0000 0.0000 0.5000
Sn1 Sn 0.2500 0.2500 0.7500
As1 As 0.2500 0.2500 0.2500
```

Results
**Magnetic moment**: 9.76 Bohr magnetons per cell
**Relative energy among the computed polymorphs**: 0.000 eV/atom

---

Compound: YCuGeSeS2
Source: OQMD via LeMat-Bulk
Functional: PBE-GGA
Structure: optimized geometry

Cell and atoms, written as CIF:
```
data_YCuGeSeS2
_symmetry_space_group_name_H-M 'C m c m'
_symmetry_Int_Tables_number 63
_symmetry_space_group_name_Hall '-C 2c 2'
_cell_length_a 3.8140
_cell_length_b 12.6448
_cell_length_c 10.5026
_cell_angle_alpha 90.00
_cell_angle_beta 90.00
_cell_angle_gamma 90.00
loop_
_atom_site_label
_atom_site_type_symbol
_atom_site_fract_x
_atom_site_fract_y
_atom_site_fract_z
Y1 Y 0.0000 0.0000 0.0000
Cu1 Cu 0.0000 0.4717 0.2500
Ge1 Ge 0.0000 0.2158 0.7500
Se1 Se 0.0000 0.0983 0.2500
S1 S 0.0000 0.3591 0.0773
```

Results
**Magnetic moment**: 0.01 Bohr magnetons per cell
**Total energy**: -5.31 eV per atom

---

Compound: SmTlZnS3
Source: OQMD via LeMat-Bulk
Functional: PBE-GGA
Structure: optimized geometry

Cell and atoms, written as CIF:
```
data_SmTlZnS3
_symmetry_space_group_name_H-M 'P n m a'
_symmetry_Int_Tables_number 62
_symmetry_space_group_name_Hall '-P 2ac 2n'
_cell_length_a 11.2810
_cell_length_b 4.1658
_cell_length_c 12.0411
_cell_angle_alpha 90.00
_cell_angle_beta 90.00
_cell_angle_gamma 90.00
loop_
_atom_site_label
_atom_site_type_symbol
_atom_site_fract_x
_atom_site_fract_y
_atom_site_fract_z
Sm1 Sm 0.0217 0.2500 0.1708
Tl1 Tl 0.1630 0.2500 0.5087
Zn1 Zn 0.2484 0.2500 0.8000
S1 S 0.0477 0.7500 0.3272
S2 S 0.1048 0.2500 0.9407
S3 S 0.2187 0.7500 0.7024
```

Results
**Magnetic moment**: 0.00 Bohr magnetons per cell
**Relative energy among the computed polymorphs**: 0.022 eV/atom

---

Compound: Cu15Sn
Source: OQMD via LeMat-Bulk
Functional: PBE-GGA
Structure: optimized geometry

Cell and atoms, written as CIF:
```
data_Cu15Sn
_symmetry_space_group_name_H-M 'P m m a'
_symmetry_Int_Tables_number 51
_symmetry_space_group_name_Hall '-P 2a 2a'
_cell_length_a 3.6127
_cell_length_b 3.6127
_cell_length_c 41.8606
_cell_angle_alpha 90.00
_cell_angle_beta 90.00
_cell_angle_gamma 90.00
loop_
_atom_site_label
_atom_site_type_symbol
_atom_site_fract_x
_atom_site_fract_y
_atom_site_fract_z
Cu1 Cu 0.2500 0.0000 0.0214
Cu2 Cu 0.2500 0.0000 0.1072
Cu3 Cu 0.2500 0.0000 0.1915
Cu4 Cu 0.2500 0.0000 0.2775
Cu5 Cu 0.2500 0.0000 0.6812
Cu6 Cu 0.2500 0.0000 0.7659
Cu7 Cu 0.2500 0.0000 0.8504
Cu8 Cu 0.2500 0.0000 0.9357
Cu9 Cu 0.2500 0.5000 0.0644
Cu10 Cu 0.2500 0.5000 0.1497
Cu11 Cu 0.2500 0.5000 0.2342
Cu12 Cu 0.2500 0.5000 0.7225
Cu13 Cu 0.2500 0.5000 0.8085
Cu14 Cu 0.2500 0.5000 0.8928
Cu15 Cu 0.2500 0.5000 0.9786
Sn1 Sn 0.2500 0.5000 0.3382
```

Results
**Relative energy among the computed polymorphs**: 0.000 eV/atom

---

Compound: LuTaCoSb
Source: OQMD via LeMat-Bulk
Functional: PBE-GGA
Structure: optimized geometry

Cell and atoms, written as CIF:
```
data_LuTaCoSb
_symmetry_space_group_name_H-M 'F -4 3 m'
_symmetry_Int_Tables_number 216
_symmetry_space_group_name_Hall 'F -4 2 3'
_cell_length_a 6.6695
_cell_length_b 6.6695
_cell_length_c 6.6695
_cell_angle_alpha 90.00
_cell_angle_beta 90.00
_cell_angle_gamma 90.00
loop_
_atom_site_label
_atom_site_type_symbol
_atom_site_fract_x
_atom_site_fract_y
_atom_site_fract_z
Lu1 Lu 0.0000 0.0000 0.0000
Ta1 Ta 0.2500 0.2500 0.2500
Co1 Co 0.2500 0.2500 0.7500
Sb1 Sb 0.0000 0.0000 0.5000
```

Results
**Magnetic moment**: 6.01 Bohr magnetons per cell
**Relative energy among the computed polymorphs**: 0.000 eV/atom

---

Compound: Zr2Br3Cl3
Source: OQMD via LeMat-Bulk
Functional: PBE-GGA
Structure: optimized geometry

Cell and atoms, written as CIF:
```
data_Zr2Br3Cl3
_symmetry_space_group_name_H-M 'A m m 2'
_symmetry_Int_Tables_number 38
_symmetry_space_group_name_Hall 'A 2 -2'
_cell_length_a 6.1665
_cell_length_b 11.8774
_cell_length_c 6.8712
_cell_angle_alpha 90.00
_cell_angle_beta 90.00
_cell_angle_gamma 90.00
loop_
_atom_site_label
_atom_site_type_symbol
_atom_site_fract_x
_atom_site_fract_y
_atom_site_fract_z
Zr1 Zr 0.2453 0.0000 0.0000
Br1 Br 0.0000 0.0000 0.6758
Br2 Br 0.5000 0.1634 0.8463
Cl1 Cl 0.0000 0.1482 0.1582
Cl2 Cl 0.5000 0.0000 0.2978
```

Results
**Magnetic moment**: 0.00 Bohr magnetons per cell
**Total energy**: -5.00 eV per atom

---

Compound: PmPPdO
Source: OQMD via LeMat-Bulk
Functional: PBE-GGA
Structure: optimized geometry

Cell and atoms, written as CIF:
```
data_PmPPdO
_symmetry_space_group_name_H-M 'P 4/n m m'
_symmetry_Int_Tables_number 129
_cell_length_a 5.4863
_cell_length_b 5.4863
_cell_length_c 4.6431
_cell_angle_alpha 90.00
_cell_angle_beta 90.00
_cell_angle_gamma 90.00
loop_
_symmetry_equiv_pos_as_xyz
'x,y,z'
'-x,-y,-z'
'-y+1/2,x,z'
'y+1/2,-x,-z'
'-x+1/2,-y+1/2,z'
'x+1/2,y+1/2,-z'
'y,-x+1/2,z'
'-y,x+1/2,-z'
'x+1/2,-y,-z'
'-x+1/2,y,z'
'-y,-x,-z'
'y,x,z'
'-x,y+1/2,-z'
'x,-y+1/2,z'
'y+1/2,x+1/2,-z'
'-y+1/2,-x+1/2,z'
loop_
_atom_site_label
_atom_site_type_symbol
_atom_site_fract_x
_atom_site_fract_y
_atom_site_fract_z
Pm1 Pm 0.2500 0.7500 0.0000
P1 P 0.2500 0.2500 0.0026
Pd1 Pd 0.2500 0.2500 0.5023
O1 O 0.2500 0.7500 0.5000
```

Results
**Magnetic moment**: 0.01 Bohr magnetons per cell
**Relative energy among the computed polymorphs**: 0.876 eV/atom

---

Compound: CuF2
Source: OQMD via LeMat-Bulk
Functional: PBE-GGA
Structure: optimized geometry

Cell and atoms, written as CIF:
```
data_CuF2
_symmetry_space_group_name_H-M 'P 63 m c'
_symmetry_Int_Tables_number 186
_symmetry_space_group_name_Hall 'P 6c -2c'
_cell_length_a 3.1324
_cell_length_b 3.1324
_cell_length_c 7.6119
_cell_angle_alpha 90.00
_cell_angle_beta 90.00
_cell_angle_gamma 120.00
loop_
_atom_site_label
_atom_site_type_symbol
_atom_site_fract_x
_atom_site_fract_y
_atom_site_fract_z
Cu1 Cu 0.3333 0.6667 0.0000
F1 F 0.0000 0.0000 0.3811
F2 F 0.3333 0.6667 0.6199
```

Results
**Total energy**: -3.79 eV per atom

---

Compound: Au
Source: OQMD via LeMat-Bulk
Functional: PBE-GGA
Structure: optimized geometry

Cell and atoms, written as CIF:
```
data_Au
_symmetry_space_group_name_H-M 'P m m n'
_symmetry_Int_Tables_number 59
_cell_length_a 2.8738
_cell_length_b 4.0157
_cell_length_c 35.6963
_cell_angle_alpha 90.00
_cell_angle_beta 90.00
_cell_angle_gamma 90.00
loop_
_symmetry_equiv_pos_as_xyz
'x,y,z'
'-x,-y,-z'
'-x+1/2,-y+1/2,z'
'x+1/2,y+1/2,-z'
'x+1/2,-y,-z'
'-x+1/2,y,z'
'-x,y+1/2,-z'
'x,-y+1/2,z'
loop_
_atom_site_label
_atom_site_type_symbol
_atom_site_fract_x
_atom_site_fract_y
_atom_site_fract_z
Au1 Au 0.2500 0.2500 0.0215
Au2 Au 0.2500 0.2500 0.1080
Au3 Au 0.2500 0.2500 0.1948
Au4 Au 0.2500 0.2500 0.2828
Au5 Au 0.2500 0.2500 0.6775
Au6 Au 0.2500 0.2500 0.7625
Au7 Au 0.2500 0.2500 0.8490
Au8 Au 0.2500 0.2500 0.9355
```

Results
**Relative energy among the computed polymorphs**: 0.084 eV/atom

---

Compound: SmGdAsO
Source: OQMD via LeMat-Bulk
Functional: PBE-GGA
Structure: optimized geometry

Cell and atoms, written as CIF:
```
data_SmGdAsO
_symmetry_space_group_name_H-M 'P m c 21'
_symmetry_Int_Tables_number 26
_symmetry_space_group_name_Hall 'P 2c -2'
_cell_length_a 4.2041
_cell_length_b 7.8471
_cell_length_c 5.8949
_cell_angle_alpha 90.00
_cell_angle_beta 90.00
_cell_angle_gamma 90.00
loop_
_atom_site_label
_atom_site_type_symbol
_atom_site_fract_x
_atom_site_fract_y
_atom_site_fract_z
Sm1 Sm 0.0000 0.1154 0.0000
Gd1 Gd 0.5000 0.2926 0.4382
As1 As 0.5000 0.3456 0.9320
O1 O 0.0000 0.1760 0.3839
```

Results
**Magnetic moment**: 0.01 Bohr magnetons per cell
**Relative energy among the computed polymorphs**: 0.019 eV/atom